Ba2VP2O10 after structural relaxation. Source: Alexandria via LeMat-Bulk, functional PBE+U.

a = 6.848 Å, b = 6.848 Å, c = 7.212 Å
α = 76.79°, β = 76.79°, γ = 44.46°
Positions (direct):
P: 0.133 0.133 0.285
O: 0.057 0.057 0.152
Ba: 0.169 0.169 0.782
Ba: 0.845 0.845 0.199
O: 0.253 0.253 0.176
O: 0.115 0.640 0.569
O: 0.640 0.115 0.569
O: 0.469 0.469 0.268
O: 0.873 0.350 0.428
V: 0.497 0.497 0.482
P: 0.869 0.869 0.709
O: 0.511 0.511 0.744
O: 0.350 0.873 0.428
O: 0.958 0.958 0.818
O: 0.755 0.755 0.847

Calculated values
- Space group: Cm
- M_tot: 1.00 μB/cell
- Uncorrected energy: -7.109 eV/atom

BaVPO6 after structural relaxation. Source: Alexandria via LeMat-Bulk, functional PBE+U.

a = 10.143 Å, b = 5.835 Å, c = 8.781 Å
α = 89.15°, β = 90.00°, γ = 90.00°
Positions (direct):
P: 0.615 0.347 0.782
P: 0.385 0.653 0.218
O: 0.834 0.279 0.118
O: 0.981 0.515 0.732
V: 0.088 0.650 0.084
O: 0.277 0.495 0.148
O: 0.723 0.505 0.852
O: 0.929 0.681 0.017
O: 0.334 0.721 0.382
O: 0.166 0.721 0.882
Ba: 0.191 0.143 0.414
O: 0.481 0.485 0.768
V: 0.588 0.350 0.416
O: 0.416 0.865 0.122
Ba: 0.309 0.143 0.914
O: 0.084 0.865 0.622
V: 0.412 0.650 0.584
Ba: 0.691 0.857 0.086
O: 0.777 0.505 0.352
O: 0.630 0.102 0.339
O: 0.519 0.515 0.232
O: 0.223 0.495 0.648
O: 0.130 0.898 0.161
O: 0.071 0.319 0.983
Ba: 0.809 0.857 0.586
O: 0.019 0.485 0.268
P: 0.885 0.347 0.282
O: 0.916 0.135 0.378
O: 0.870 0.102 0.839
P: 0.115 0.653 0.718
O: 0.370 0.898 0.661
V: 0.912 0.350 0.916
O: 0.666 0.279 0.618
O: 0.571 0.681 0.517
O: 0.584 0.135 0.878
O: 0.429 0.319 0.483

Calculated values
- Space group: P2_1/c
- Relative energy among the computed polymorphs: 0 kJ/mol of formula units
- M_tot: 0.00 μB/cell
- Uncorrected energy: -7.354 eV/atom

BaVPO6 after structural relaxation. Source: Alexandria via LeMat-Bulk, functional PBE+U.

a = 4.902 Å, b = 4.903 Å, c = 5.789 Å
α = 90.00°, β = 90.00°, γ = 60.00°
Positions (direct):
P: 0.333 0.333 0.500
O: 0.380 0.594 0.326
V: 0.667 0.667 0.500
O: 0.380 0.026 0.674
O: 0.594 0.026 0.326
O: 0.026 0.594 0.674
O: 0.026 0.380 0.326
O: 0.594 0.380 0.674
Ba: 0.000 0.000 0.000

Calculated values
- Space group: P312
- Relative energy among the computed polymorphs: 171 kJ/mol of formula units
- M_tot: 0.00 μB/cell
- Uncorrected energy: -7.158 eV/atom

BaVP2O after structural relaxation. Source: Alexandria via LeMat-Bulk, functional PBE+U.

a = 5.735 Å, b = 5.735 Å, c = 4.349 Å
α = 90.00°, β = 90.00°, γ = 90.00°
Positions (direct):
Ba: 0.000 0.000 0.000
P: 0.000 0.500 0.000
O: 0.000 0.000 0.500
V: 0.500 0.500 0.500
P: 0.500 0.000 0.000

Calculated values
- Space group: P4/mmm
- Relative energy among the computed polymorphs: 900 kJ/mol of formula units
- M_tot: 0.84 μB/cell
- Uncorrected energy: -3.737 eV/atom

Q: Look up the uncorrected energy of the first one.
A: -7.109 eV/atom

Q: Which value of uncorrected energy does entry 1 give?
A: -7.109 eV/atom

Q: Among the records above, which one has the lowest uncorrected energy?
A: number 2